Material: Zr4InPd
Method: DFT, PBE
State: relaxed

Lattice parameters (Å, degrees): 4.694 4.694 8.127 73.39 73.39 60.22
Positions (direct):
Zr 0.882 0.882 0.355
Zr 0.118 0.118 0.645
Zr 0.370 0.370 0.889
Zr 0.630 0.630 0.111
In 0.500 0.500 0.500
Pd 0.000 0.000 0.000

Output
V (Å³/cell): 147
Space-group type: C2/m, No. 12
Formation energy from the elements (eV per atom): 0.05
ρ (g cm⁻³): 6.6
Electronic total energy (eV/cell): -41.831

Material: Re4Cl
Method: DFT, PBE
State: relaxed

Lattice parameters (Å, degrees): 4.744 4.744 4.744 109.47 109.47 109.47
Positions (direct):
Re 0.500 0.000 0.000
Re 0.500 0.500 0.500
Re 0.000 0.500 0.000
Re 0.000 0.000 0.500
Cl 0.000 0.000 0.000

Output
V (Å³/cell): 82
Space-group type: Im-3m, No. 229
ρ (g cm⁻³): 15.8
Electronic total energy (eV/cell): -41.576

Material: Ca3Sb2N4
Method: DFT, PBE
State: relaxed

Lattice parameters (Å, degrees): 8.140 8.140 5.203 83.43 83.43 96.49
Positions (direct):
Ca 0.797 0.988 0.560
Ca 0.328 0.672 0.750
Ca 0.012 0.203 0.940
Ca 0.988 0.797 0.060
Ca 0.672 0.328 0.250
Ca 0.203 0.012 0.440
N 0.601 0.741 0.564
N 0.399 0.259 0.436
N 0.259 0.399 0.936
N 0.993 0.780 0.575
N 0.741 0.601 0.064
N 0.780 0.993 0.075
N 0.007 0.220 0.425
N 0.220 0.007 0.925
Sb 0.404 0.209 0.840
Sb 0.596 0.791 0.160
Sb 0.209 0.404 0.340
Sb 0.791 0.596 0.660

Output
V (Å³/cell): 337
Space-group type: C2/c, No. 15
ρ (g cm⁻³): 4.1
Electronic total energy (eV/cell): -102.912

Material: RbGe2H8
Method: DFT, PBE
State: relaxed

Lattice parameters (Å, degrees): 6.045 7.657 7.657 36.67 72.54 72.54
Positions (direct):
H 0.233 0.418 0.900
H 0.429 0.821 0.821
H 0.185 0.321 0.321
H 0.571 0.179 0.179
H 0.815 0.679 0.679
H 0.767 0.582 0.100
H 0.767 0.100 0.582
H 0.233 0.900 0.418
Rb 0.000 0.000 0.000
Ge 0.699 0.793 0.793
Ge 0.301 0.207 0.207

Output
V (Å³/cell): 201
Space-group type: C2/m, No. 12
ρ (g cm⁻³): 2.0
Electronic total energy (eV/cell): -35.857

Material: K2Mg
Method: DFT, PBE
State: relaxed

Lattice parameters (Å, degrees): 9.013 9.013 9.013 90.00 90.00 90.00
Positions (direct):
Mg 0.000 0.000 0.000
Mg 0.000 0.500 0.500
Mg 0.500 0.000 0.500
Mg 0.500 0.500 0.000
K 0.150 0.650 0.850
K 0.650 0.850 0.150
K 0.350 0.150 0.850
K 0.850 0.350 0.150
K 0.150 0.850 0.350
K 0.350 0.350 0.350
K 0.650 0.650 0.650
K 0.850 0.150 0.650

Output
V (Å³/cell): 732
Space-group type: Pa-3, No. 205
Formation energy from the elements (eV per atom): 0.27
ρ (g cm⁻³): 0.9
Electronic total energy (eV/cell): -11.916

Material: DyHo4Th4
Method: DFT, PBE
State: relaxed

Lattice parameters (Å, degrees): 5.038 7.938 7.938 84.22 71.50 71.50
Positions (direct):
Ho 0.330 0.670 0.670
Ho 0.000 0.670 0.330
Ho 0.000 0.330 0.670
Ho 0.670 0.330 0.330
Th 0.666 0.668 0.000
Th 0.666 0.000 0.668
Th 0.334 0.000 0.332
Th 0.334 0.332 0.000
Dy 0.000 0.000 0.000

Output
V (Å³/cell): 286
Space-group type: I4/mmm, No. 139
Formation energy from the elements (eV per atom): 0.04
ρ (g cm⁻³): 10.2
Electronic total energy (eV/cell): -52.189

What is the formula in the first record?
Zr4InPd

Look up the electronic total energy of the first one.
-41.831 eV/cell